Here is a relaxed structure of SrGdInCu from Alexandria. Energies are from PBE-GGA.

Structure (POSCAR):
```
SrGdInCu
1.0
5.3756 0.0000 0.0000
2.6878 4.6554 0.0000
2.6878 1.5518 4.3891
Cu In Sr Gd
1 1 1 1
direct
0.2500 0.2500 0.2500
0.7500 0.7500 0.7500
0.0000 0.0000 0.0000
0.5000 0.5000 0.5000
```

symmetry = F-43m
spin magnetization = 7.3 μB per cell
E_form = -0.18 eV/atom